VASP calculation (PBE) on Nd4SiAu3 after structural relaxation.

Cell lengths 5.9645, 4.6292, 7.5746 Å; angles 90.00, 90.78, 90.00 degrees
Fractional coordinates of all 8 atoms:
Au1 0.3565 0.5000 0.4602
Au2 0.8523 0.0000 0.0418
Si1 0.6460 0.0000 0.5426
Nd1 0.1351 0.0000 0.6760
Nd2 0.8543 0.5000 0.3211
Nd3 0.6405 0.5000 0.8182
Nd4 0.3611 0.0000 0.1810
Au3 0.1542 0.5000 0.9592

- space-group type = Pm, No. 6
- V (Å³/f.u.) = 209.12
- total DFT energy (no corrections) (eV for the cell shown) = -40.2